DFT (PBE) results for crystalline RbSr3P at its relaxed geometry.

Cell and atoms, written as CIF:
```
data_RbSr3P
_chemical_formula_sum 'Rb1 Sr3 P1'
_space_group_name_H-M_alt 'P m -3 m'
_space_group_IT_number 221
_space_group_name_Hall '-P 4 2 3'
_cell_length_a 6.177
_cell_length_b 6.177
_cell_length_c 6.177
_cell_angle_alpha 90.00
_cell_angle_beta 90.00
_cell_angle_gamma 90.00
loop_
_atom_site_label
_atom_site_type_symbol
_atom_site_fract_x
_atom_site_fract_y
_atom_site_fract_z
_atom_site_occupancy
Rb1 Rb 0.000 0.000 0.000 1
Sr1 Sr 0.000 0.500 0.500 1
P1 P 0.500 0.500 0.500 1
```

E_form, eV per atom: -0.39
DOS at the Fermi energy, states/eV per cell: 4.03

DFT (PBE) results for crystalline Ho3Tl3Zn2 at its relaxed geometry.

Cell and atoms, written as CIF:
```
data_Ho3Tl3Zn2
_chemical_formula_sum 'Ho3 Tl3 Zn2'
_space_group_name_H-M_alt 'P -6 2 m'
_space_group_IT_number 189
_space_group_name_Hall 'P -6 -2'
_cell_length_a 7.7520
_cell_length_b 7.7520
_cell_length_c 3.7787
_cell_angle_alpha 90.00
_cell_angle_beta 90.00
_cell_angle_gamma 120.00
loop_
_atom_site_label
_atom_site_type_symbol
_atom_site_fract_x
_atom_site_fract_y
_atom_site_fract_z
_atom_site_occupancy
Ho1 Ho 0.0000 0.6058 0.0000 1
Tl1 Tl 0.0000 0.2511 0.5000 1
Zn1 Zn 0.3333 0.6667 0.5000 1
```

E_form, eV per atom: -0.28
DOS at the Fermi energy, states/eV per cell: 7.08

DFT (PBE) results for crystalline TbPu2NpSb4 at its relaxed geometry.

Cell and atoms, written as CIF:
```
data_TbPu2NpSb4
_chemical_formula_sum 'Tb1 Pu2 Np1 Sb4'
_space_group_name_H-M_alt 'P 1 2/m 1'
_space_group_IT_number 10
_space_group_name_Hall '-P 2y'
_cell_length_a 7.625
_cell_length_b 4.407
_cell_length_c 7.673
_cell_angle_alpha 90.00
_cell_angle_beta 109.30
_cell_angle_gamma 90.00
loop_
_atom_site_label
_atom_site_type_symbol
_atom_site_fract_x
_atom_site_fract_y
_atom_site_fract_z
_atom_site_occupancy
Tb1 Tb 0.000 0.000 0.000 1
Pu1 Pu 0.500 0.000 0.500 1
Pu2 Pu 0.500 0.500 0.000 1
Np1 Np 0.000 0.500 0.500 1
Sb1 Sb 0.248 0.000 0.749 1
Sb2 Sb 0.248 0.500 0.251 1
```

DOS at the Fermi energy, states/eV per cell: 41.04

DFT (PBE) results for crystalline BaSr2Nd at its relaxed geometry.

Cell and atoms, written as CIF:
```
data_BaSr2Nd
_chemical_formula_sum 'Ba3 Sr6 Nd3'
_space_group_name_H-M_alt 'R 3 m'
_space_group_IT_number 160
_space_group_name_Hall 'R 3 -2"'
_cell_length_a 4.1021
_cell_length_b 4.1021
_cell_length_c 40.5899
_cell_angle_alpha 90.00
_cell_angle_beta 90.00
_cell_angle_gamma 120.00
loop_
_atom_site_label
_atom_site_type_symbol
_atom_site_fract_x
_atom_site_fract_y
_atom_site_fract_z
_atom_site_occupancy
Ba1 Ba 0.0000 0.0000 0.0000 1
Sr1 Sr 0.0000 0.0000 0.4230 1
Sr2 Sr 0.0000 0.0000 0.5767 1
Nd1 Nd 0.0000 0.0000 0.1665 1
```

E_form, eV per atom: 0.12
DOS at the Fermi energy, states/eV per cell: 17.36

DFT (PBE) results for crystalline Tl2ReCl5 at its relaxed geometry.

Cell and atoms, written as CIF:
```
data_Tl2ReCl5
_chemical_formula_sum 'Tl2 Re1 Cl5'
_space_group_name_H-M_alt 'P 1'
_space_group_IT_number 1
_space_group_name_Hall 'P 1'
_cell_length_a 6.994
_cell_length_b 7.117
_cell_length_c 7.194
_cell_angle_alpha 93.57
_cell_angle_beta 118.26
_cell_angle_gamma 117.01
loop_
_atom_site_label
_atom_site_type_symbol
_atom_site_fract_x
_atom_site_fract_y
_atom_site_fract_z
_atom_site_occupancy
Tl1 Tl 0.000 0.000 0.000 1
Tl2 Tl 0.010 0.544 0.461 1
Re1 Re 0.488 0.268 0.751 1
Cl1 Cl 0.040 0.113 0.582 1
Cl2 Cl 0.400 0.979 0.444 1
Cl3 Cl 0.480 0.043 0.980 1
Cl4 Cl 0.503 0.528 0.558 1
Cl5 Cl 0.946 0.466 0.964 1
```

DFT (PBE) results for crystalline Cs2CaHoBr6 at its relaxed geometry.

Cell and atoms, written as CIF:
```
data_Cs2CaHoBr6
_chemical_formula_sum 'Cs4 Ca2 Ho2 Br12'
_space_group_name_H-M_alt 'P m m n'
_space_group_IT_number 59
_cell_length_a 8.092
_cell_length_b 11.446
_cell_length_c 8.083
_cell_angle_alpha 90.00
_cell_angle_beta 90.00
_cell_angle_gamma 90.00
loop_
_space_group_symop_operation_xyz
'x,y,z'
'-x,-y,-z'
'-x+1/2,-y+1/2,z'
'x+1/2,y+1/2,-z'
'x+1/2,-y,-z'
'-x+1/2,y,z'
'-x,y+1/2,-z'
'x,-y+1/2,z'
loop_
_atom_site_label
_atom_site_type_symbol
_atom_site_fract_x
_atom_site_fract_y
_atom_site_fract_z
_atom_site_occupancy
Cs1 Cs 0.250 0.000 0.250 1
Ca1 Ca 0.250 0.250 0.749 1
Ho1 Ho 0.250 0.750 0.751 1
Br1 Br 0.003 0.750 0.504 1
Br2 Br 0.003 0.750 0.998 1
Br3 Br 0.250 0.503 0.750 1
```

DOS at the Fermi energy, states/eV per cell: 9.00

DFT (PBE) results for crystalline Hg2AsAu2 at its relaxed geometry.

Cell and atoms, written as CIF:
```
data_Hg2AsAu2
_chemical_formula_sum 'Hg4 As2 Au4'
_space_group_name_H-M_alt 'I 4/m m m'
_space_group_IT_number 139
_space_group_name_Hall '-I 4 2'
_cell_length_a 3.871
_cell_length_b 3.871
_cell_length_c 14.858
_cell_angle_alpha 90.00
_cell_angle_beta 90.00
_cell_angle_gamma 90.00
loop_
_atom_site_label
_atom_site_type_symbol
_atom_site_fract_x
_atom_site_fract_y
_atom_site_fract_z
_atom_site_occupancy
Hg1 Hg 0.000 0.000 0.098 1
As1 As 0.000 0.000 0.500 1
Au1 Au 0.000 0.500 0.250 1
```

E_form, eV per atom: 0.25
DOS at the Fermi energy, states/eV per cell: 5.09

DFT (PBE) results for crystalline ZnGa4Os2 at its relaxed geometry.

Cell and atoms, written as CIF:
```
data_ZnGa4Os2
_chemical_formula_sum 'Zn2 Ga8 Os4'
_space_group_name_H-M_alt 'I 4/m m m'
_space_group_IT_number 139
_space_group_name_Hall '-I 4 2'
_cell_length_a 4.741
_cell_length_b 4.741
_cell_length_c 12.469
_cell_angle_alpha 90.00
_cell_angle_beta 90.00
_cell_angle_gamma 90.00
loop_
_atom_site_label
_atom_site_type_symbol
_atom_site_fract_x
_atom_site_fract_y
_atom_site_fract_z
_atom_site_occupancy
Zn1 Zn 0.000 0.000 0.000 1
Ga1 Ga 0.000 0.000 0.200 1
Ga2 Ga 0.000 0.500 0.000 1
Os1 Os 0.000 0.000 0.401 1
```

E_form, eV per atom: 0.80
DOS at the Fermi energy, states/eV per cell: 9.86

The calculation returns the following E values, one per record and in order: -2.674, -3.199, -8.457, -2.390, -3.938, -3.595, -2.116, -4.317 eV per atom.
The calculation returns the following magnetization values, one per record and in order: 0.00, 0.00, 3.79, 1.55, 4.00, 1.43, 0.00, 4.03 Bohr magnetons per cell.